The following is a DFT calculation (PBE with a Hubbard U) of a relaxed MoH2O4 crystal.

Summary:
Energy: -41.2 eV per formula unit
Calculated volume: 150.5 Å³/cell
Symmetry: No. 1

a b c (Å): 4.3957 7.0769 5.7115
angles (deg): 121.39 83.04 92.43
Fractional coordinates of all 14 atoms:
Mo1 0.2532 0.5803 0.1603
Mo2 0.0646 0.0155 0.0016
H1 0.9403 0.9414 0.5323
H2 0.5563 0.2174 0.1563
H3 0.3650 0.5634 0.5845
H4 0.6878 0.2716 0.6913
O1 0.0839 0.8484 0.5580
O2 0.0078 0.2037 0.4023
O3 0.0575 0.3218 0.0119
O4 0.0861 0.7501 0.0357
O5 0.5646 0.0569 0.0136
O6 0.4687 0.5269 0.4039
O7 0.5875 0.5135 0.9350
O8 0.7482 0.1284 0.5114